Material: NpScRu4
Method: DFT, PBE
State: relaxed

a = 4.644 Å, b = 3.127 Å, c = 7.314 Å
α = 90.00°, β = 95.68°, γ = 90.00°
Space group P2/m (No. 10)
One atom of each set of equivalent atoms:
1 Np 0.000 0.000 0.000 [1 per cell]
2 Sc 0.500 0.500 0.500 [1 per cell]
3 Ru 0.022 0.500 0.733 [2 per cell]
4 Ru 0.470 0.000 0.197 [2 per cell]

Results
Density of states at the Fermi level = 7.28 states/eV/cell
Calculated total energy = -55.5 eV/f.u.
Polymorph energy (0 for the lowest one) = 0.288 eV/atom
Calculated density = 10.8 Mg/m³
Magnetization = 0.17 μB per cell
Calculated formation energy = 141 meV/atom

=====

Material: Li2MnV2S6
Method: DFT, PBE
State: relaxed

a = 5.663 Å, b = 10.025 Å, c = 6.523 Å
α = 90.00°, β = 104.79°, γ = 90.00°
Space group C2/m (No. 12)
One atom of each set of equivalent atoms:
1 Li 0.000 0.176 0.000 [4 per cell]
2 Mn 0.000 0.000 0.500 [2 per cell]
3 V 0.000 0.362 0.500 [4 per cell]
4 S 0.222 0.170 0.710 [8 per cell]
5 S 0.249 0.000 0.256 [4 per cell]

Results
Raw formation energy = -0.942 eV/atom
Density of states at the Fermi level = 3.69 states/eV/cell
Calculated total energy = -66.4 eV/f.u.
Calculated density = 3.4 Mg/m³
Magnetization = 1.97 μB per cell

=====

Material: Pm4GaSnN
Method: DFT, PBE
State: relaxed

a = 6.835 Å, b = 16.146 Å, c = 6.843 Å
α = 90.00°, β = 90.00°, γ = 90.00°
Space group Cmcm (No. 63)
One atom of each set of equivalent atoms:
1 Pm 0.000 0.079 0.250 [4 per cell]
2 Pm 0.000 0.412 0.250 [4 per cell]
3 Pm 0.250 0.250 0.000 [8 per cell]
4 Ga 0.000 0.116 0.750 [4 per cell]
5 Sn 0.000 0.391 0.750 [4 per cell]
6 N 0.000 0.252 0.250 [4 per cell]

Results
Raw formation energy = -0.799 eV/atom
Density of states at the Fermi level = 10.36 states/eV/cell
Calculated total energy = -40.0 eV/f.u.
Calculated density = 6.9 Mg/m³
Magnetization = 0.00 μB per cell

=====

Material: Tb2Dy4Zr
Method: DFT, PBE
State: relaxed

a = 3.5204 Å, b = 3.5204 Å, c = 19.7224 Å
α = 90.00°, β = 90.00°, γ = 120.00°
Space group P3m1 (No. 156)
One atom of each set of equivalent atoms:
1 Tb 0.0000 0.0000 0.0000 [1 per cell]
2 Tb 0.0000 0.0000 0.2909 [1 per cell]
3 Dy 0.3333 0.6667 0.1462 [1 per cell]
4 Dy 0.3333 0.6667 0.8548 [1 per cell]
5 Dy 0.6667 0.3333 0.4403 [1 per cell]
6 Dy 0.6667 0.3333 0.7049 [1 per cell]
7 Zr 0.0000 0.0000 0.5717 [1 per cell]

Results
Density of states at the Fermi level = 9.27 states/eV/cell
Calculated total energy = -35.9 eV/f.u.
Calculated density = 8.3 Mg/m³
Magnetization = 0.00 μB per cell
Calculated formation energy = 40 meV/atom

=====

Material: Sc3PaAg3Se8
Method: DFT, PBE
State: relaxed

a = 13.788 Å, b = 7.987 Å, c = 7.988 Å
α = 90.00°, β = 125.21°, γ = 90.00°
Space group C2/m (No. 12)
One atom of each set of equivalent atoms:
1 Sc 0.000 0.000 0.000 [2 per cell]
2 Sc 0.250 0.250 0.500 [4 per cell]
3 Pa 0.000 0.500 0.000 [2 per cell]
4 Ag 0.000 0.500 0.500 [2 per cell]
5 Ag 0.250 0.250 0.000 [4 per cell]
6 Se 0.007 0.240 0.251 [8 per cell]
7 Se 0.245 0.000 0.256 [4 per cell]
8 Se 0.248 0.000 0.732 [4 per cell]

Results
Raw formation energy = -1.100 eV/atom
Density of states at the Fermi level = 15.04 states/eV/cell
Calculated total energy = -81.4 eV/f.u.
Calculated density = 6.1 Mg/m³
Magnetization = 2.20 μB per cell

=====

Material: KTa3Pd
Method: DFT, PBE
State: relaxed

a = 4.576 Å, b = 4.576 Å, c = 4.576 Å
α = 90.00°, β = 90.00°, γ = 90.00°
Space group Pm-3m (No. 221)
One atom of each set of equivalent atoms:
1 K 0.000 0.000 0.000 [1 per cell]
2 Ta 0.000 0.000 0.500 [3 per cell]
3 Pd 0.500 0.500 0.500 [1 per cell]

Results
Density of states at the Fermi level = 9.89 states/eV/cell
Calculated total energy = -27.4 eV/f.u.
Polymorph energy (0 for the lowest one) = 1.221 eV/atom
Calculated density = 11.9 Mg/m³
Magnetization = 0.00 μB per cell
Calculated formation energy = 2895 meV/atom